# 1
The following is a GGA-PBE calculation of a relaxed ZnHgAu6 crystal, from Alexandria.

formation energy: -0.028 eV/atom
crystal system: tetragonal

Cell: 4.1644 4.1644 8.3662 Å, 90.00 90.00 90.00°
Positions (direct):
Zn 0.0000 0.0000 0.0000
Hg 0.0000 0.0000 0.5000
Au 0.0000 0.5000 0.2376
Au 0.0000 0.5000 0.7624
Au 0.5000 0.0000 0.2376
Au 0.5000 0.0000 0.7624
Au 0.5000 0.5000 0.0000
Au 0.5000 0.5000 0.5000

---

# 2
The following is a GGA-PBE calculation of a relaxed Ca2BiO4 crystal, from Alexandria.

formation energy without anion corrections: -15.16 eV per formula unit
crystal system: orthorhombic
energy relative to the lowest polymorph listed for this composition: 0.0 meV per atom

Cell: 5.9039 10.0979 3.4711 Å, 90.00 90.00 90.00°
Positions (direct):
Ca 0.0684 0.1807 0.0000
Ca 0.4316 0.6807 0.0000
Ca 0.5684 0.3193 0.0000
Ca 0.9316 0.8193 0.0000
Bi 0.0000 0.5000 0.5000
Bi 0.5000 0.0000 0.5000
O 0.1459 0.7052 0.5000
O 0.2444 0.4567 0.0000
O 0.2556 0.9567 0.0000
O 0.3541 0.2052 0.5000
O 0.6459 0.7948 0.5000
O 0.7444 0.0433 0.0000
O 0.7556 0.5433 0.0000
O 0.8541 0.2948 0.5000

---

# 3
The following is a GGA-PBE calculation of a relaxed AcNdHoSn crystal, from Alexandria.

formation energy: -0.182 eV/atom
crystal system: cubic

Cell: 7.9323 7.9323 7.9323 Å, 90.00 90.00 90.00°
Positions (direct):
Ac 0.0000 0.0000 0.0000
Ac 0.0000 0.5000 0.5000
Ac 0.5000 0.0000 0.5000
Ac 0.5000 0.5000 0.0000
Nd 0.2500 0.2500 0.2500
Nd 0.2500 0.7500 0.7500
Nd 0.7500 0.2500 0.7500
Nd 0.7500 0.7500 0.2500
Ho 0.2500 0.2500 0.7500
Ho 0.2500 0.7500 0.2500
Ho 0.7500 0.2500 0.2500
Ho 0.7500 0.7500 0.7500
Sn 0.0000 0.0000 0.5000
Sn 0.0000 0.5000 0.0000
Sn 0.5000 0.0000 0.0000
Sn 0.5000 0.5000 0.5000

---

# 4
The following is a GGA-PBE calculation of a relaxed PrDy2HoTe6 crystal, from Alexandria.

formation energy without anion corrections: -13.63 eV per formula unit
crystal system: trigonal

Cell: 8.3644 8.3644 8.3644 Å, 55.37 55.37 55.37°
Positions (direct):
Pr 0.0000 0.0000 0.0000
Dy 0.3089 0.3089 0.3089
Dy 0.8115 0.8115 0.8115
Ho 0.4964 0.4964 0.4964
Te 0.0882 0.7004 0.4198
Te 0.2168 0.5828 0.9037
Te 0.4198 0.0882 0.7004
Te 0.5828 0.9037 0.2168
Te 0.7004 0.4198 0.0882
Te 0.9037 0.2168 0.5828

---

# 5
The following is a GGA-PBE calculation of a relaxed Nd2SmRh crystal, from Alexandria.

formation energy: -0.278 eV/atom
crystal system: tetragonal
energy relative to the lowest polymorph listed for this composition: 153.5 meV per atom

Cell: 3.6191 3.6191 8.8123 Å, 90.00 90.00 90.00°
Positions (direct):
Nd 0.0000 0.0000 0.1897
Nd 0.0000 0.0000 0.8103
Sm 0.5000 0.5000 0.5000
Rh 0.5000 0.5000 0.0000

---

# 6
The following is a GGA-PBE calculation of a relaxed Na5B7C3 crystal, from Alexandria.

formation energy: 0.148 eV/atom
crystal system: orthorhombic
energy relative to the lowest polymorph listed for this composition: 35.0 meV per atom

Cell: 8.5662 7.6894 7.6894 Å, 142.09 90.00 90.00°
Positions (direct):
Na 0.2464 0.0000 0.0000
Na 0.2472 0.1971 0.7975
Na 0.2467 0.3988 0.5988
Na 0.2467 0.5988 0.3988
Na 0.2472 0.7975 0.1971
Na 0.7528 0.1971 0.7975
Na 0.7533 0.3988 0.5988
Na 0.7533 0.5988 0.3988
Na 0.7528 0.7975 0.1971
Na 0.7536 0.0000 0.0000
B 0.0000 0.0560 0.2674
B 0.0000 0.2674 0.0560
B 0.0000 0.3306 0.3306
B 0.0000 0.4643 0.8639
B 0.0000 0.6822 0.6822
B 0.0000 0.8639 0.4643
B 0.5000 0.0660 0.2672
B 0.5000 0.1303 0.5418
B 0.5000 0.2672 0.0660
B 0.5000 0.3304 0.3304
B 0.5000 0.5418 0.1303
B 0.5000 0.6819 0.6819
B 0.5000 0.7099 0.9274
B 0.5000 0.9274 0.7099
C 0.0000 0.1233 0.5290
C 0.0000 0.5290 0.1233
C 0.0000 0.7301 0.9327
C 0.0000 0.9327 0.7301
C 0.5000 0.4566 0.8606
C 0.5000 0.8606 0.4566

---

# 7
The following is a GGA-PBE calculation of a relaxed SrMg2Ga crystal, from Alexandria.

formation energy: -0.212 eV/atom
crystal system: tetragonal

Cell: 4.4152 4.4152 11.2735 Å, 90.00 90.00 90.00°
Positions (direct):
Sr 0.2500 0.2500 0.2425
Sr 0.7500 0.7500 0.7575
Mg 0.2500 0.2500 0.9309
Mg 0.2500 0.7500 0.5000
Mg 0.7500 0.2500 0.5000
Mg 0.7500 0.7500 0.0691
Ga 0.2500 0.2500 0.6622
Ga 0.7500 0.7500 0.3378

---

# 8
The following is a GGA-PBE calculation of a relaxed EuThGePt crystal, from Alexandria.

formation energy: -0.759 eV/atom
crystal system: cubic

Cell: 7.3134 7.3134 7.3134 Å, 90.00 90.00 90.00°
Positions (direct):
Eu 0.0000 0.0000 0.0000
Eu 0.0000 0.5000 0.5000
Eu 0.5000 0.0000 0.5000
Eu 0.5000 0.5000 0.0000
Th 0.0000 0.0000 0.5000
Th 0.0000 0.5000 0.0000
Th 0.5000 0.0000 0.0000
Th 0.5000 0.5000 0.5000
Ge 0.2500 0.2500 0.2500
Ge 0.2500 0.7500 0.7500
Ge 0.7500 0.2500 0.7500
Ge 0.7500 0.7500 0.2500
Pt 0.2500 0.2500 0.7500
Pt 0.2500 0.7500 0.2500
Pt 0.7500 0.2500 0.2500
Pt 0.7500 0.7500 0.7500